{
  "formula": "HgC2",
  "functional": "PBE-GGA",
  "state": "optimized geometry",
  "polymorph_energy_kcal_per_mol_atoms": 13.53,
  "formation_enthalpy_0k_ev_per_atom": 1.12,
  "total_energy_ev_per_atom": -5.13,
  "spacegroup": "No. 71",
  "lattice": [[-2.515, 2.528, 2.645], [2.515, -2.528, 2.645], [2.515, 2.528, -2.645]],
  "species": ["Hg", "C", "C"],
  "fractional_positions": [[0.000, 0.000, 0.000], [0.384, 0.384, 0.000], [0.616, 0.616, 0.000]]
}